Record 1
A relaxed structure of POs2Se. Source: Alexandria via LeMat-Bulk, functional PBE.

Unit cell a=3.025 b=3.632 c=5.841 alpha=90.00 beta=103.55 gamma=90.00
Atoms (fractional coordinates):
P 0.000 0.000 0.000
Os 0.130 0.500 0.789
Os 0.870 0.500 0.211
Se 0.500 0.000 0.500

Summary:
E above lowest polymorph ... 423 meV per atom

Record 2
A relaxed structure of Mg3PN. Source: Alexandria via LeMat-Bulk, functional PBE.

Unit cell a=7.590 b=7.590 c=5.983 alpha=91.26 beta=91.26 gamma=80.10
Atoms (fractional coordinates):
Mg 0.004 0.224 0.116
Mg 0.086 0.630 0.450
Mg 0.224 0.004 0.616
Mg 0.328 0.378 0.052
Mg 0.370 0.914 0.050
Mg 0.378 0.328 0.552
Mg 0.622 0.672 0.448
Mg 0.630 0.086 0.950
Mg 0.672 0.622 0.948
Mg 0.776 0.996 0.384
Mg 0.914 0.370 0.550
Mg 0.996 0.776 0.884
P 0.095 0.905 0.250
P 0.350 0.650 0.750
P 0.650 0.350 0.250
P 0.905 0.095 0.750
N 0.149 0.371 0.325
N 0.371 0.149 0.825
N 0.629 0.851 0.175
N 0.851 0.629 0.675

Summary:
E above lowest polymorph ... 207 meV per atom

Record 3
A relaxed structure of YHo2Sc3Bi6. Source: Alexandria via LeMat-Bulk, functional PBE.

Unit cell a=7.571 b=7.571 c=7.558 alpha=99.60 beta=99.60 gamma=120.02
Atoms (fractional coordinates):
Y 0.000 0.000 0.000
Ho 0.333 0.667 0.000
Ho 0.667 0.333 0.000
Sc 0.166 0.834 0.500
Sc 0.500 0.500 0.500
Sc 0.834 0.166 0.500
Bi 0.088 0.422 0.264
Bi 0.246 0.246 0.736
Bi 0.422 0.088 0.264
Bi 0.578 0.912 0.736
Bi 0.754 0.754 0.264
Bi 0.912 0.578 0.736

Summary:
Formation energy from the elements ... -0.7549 eV per atom

Number 1: calculated volume 15.6 Å³/atom. Number 2: calculated volume 17.0 Å³/atom. Number 3: calculated volume 29.5 Å³/atom.